First-principles (PBE) data for a relaxed structure of MoOsS2N, as listed in Alexandria.

## Properties
Fermi-level density of states = 4.967 states/eV per cell
Relative energy among the computed polymorphs = 337 meV per atom
ΔE_f (raw) = 1.130 eV/atom
Symmetry = No. 123

a = 4.777 Å, b = 4.777 Å, c = 3.733 Å
α = 90.00°, β = 90.00°, γ = 90.00°
Fractional coordinates of all 5 atoms:
Os 0.500 0.500 0.500
S 0.500 0.000 0.000
S 0.000 0.500 0.000
N 0.000 0.000 0.500
Mo 0.000 0.000 0.000